Entry 1:
Computed, not measured: a relaxed Ca5Cd2Ir crystal at the PBE level of DFT.

Properties
As for the formation energy: -276.1 meV per atom. The calculation puts the density of states at the Fermi level at 8.45 states/eV per cell. As for the total energy: -0.1052 hartree per atom. As for the symmetry: Pbam (55). Its crystal system is orthorhombic.

Unit cell a=7.440 b=12.864 c=4.951 alpha=90.00 beta=90.00 gamma=90.00
Fractional positions:
Ca  0.000  0.000  0.000
Ca  0.129  0.298  0.000
Ca  0.174  0.578  0.500
Ca  0.326  0.078  0.500
Ca  0.371  0.798  0.000
Ca  0.500  0.500  0.000
Ca  0.629  0.202  0.000
Ca  0.674  0.922  0.500
Ca  0.826  0.422  0.500
Ca  0.871  0.702  0.000
Cd  0.087  0.837  0.500
Cd  0.413  0.337  0.500
Cd  0.587  0.663  0.500
Cd  0.913  0.163  0.500
Ir  0.000  0.500  0.000
Ir  0.500  0.000  0.000


Entry 2:
Computed, not measured: a relaxed CaCdIr crystal at the PBE level of DFT.

Properties
As for the formation energy: -105.7 meV per atom. The calculation puts the density of states at the Fermi level at 1.50 states/eV per cell. As for the total energy: -0.1482 hartree per atom. As for the symmetry: P-6m2 (187). Its crystal system is hexagonal.

Unit cell a=4.697 b=4.697 c=3.408 alpha=90.00 beta=90.00 gamma=120.00
Fractional positions:
Ca  0.000  0.000  0.000
Cd  0.667  0.333  0.500
Ir  0.333  0.667  0.500


Entry 3:
Computed, not measured: a relaxed CaCd2Ir4 crystal at the PBE level of DFT.

Properties
As for the formation energy: 1746.4 meV per atom. The calculation puts the density of states at the Fermi level at 10.02 states/eV per cell. As for the total energy: -0.1420 hartree per atom. As for the symmetry: I4/mmm (139). Its crystal system is tetragonal.

Unit cell a=7.618 b=7.618 c=7.618 alpha=143.22 beta=143.22 gamma=53.00
Fractional positions:
Ca  0.000  0.000  0.000
Cd  0.384  0.384  0.000
Cd  0.616  0.616  0.000
Ir  0.000  0.500  0.500
Ir  0.190  0.190  0.000
Ir  0.500  0.000  0.500
Ir  0.810  0.810  0.000


Entry 4:
Computed, not measured: a relaxed CaCdIr crystal at the PBE level of DFT.

Properties
As for the formation energy: -23.0 meV per atom. The calculation puts the density of states at the Fermi level at 2.52 states/eV per cell. As for the total energy: -0.1451 hartree per atom. As for the symmetry: F-43m (216). Its crystal system is cubic.

Unit cell a=4.693 b=4.693 c=4.693 alpha=60.00 beta=60.00 gamma=60.00
Fractional positions:
Ca  0.000  0.000  0.000
Cd  0.500  0.500  0.500
Ir  0.750  0.750  0.750